Record 1
VASP calculation (PBE) on crystalline Ba2Cd9Sn3 at its relaxed geometry.

Summary:
Total energy (eV per atom): -1.947

Cell lengths 16.0871, 9.1551, 10.4543 Å; angles 90.00, 90.00, 90.00 degrees
Space group Cmcm (No. 63)
One atom of each set of equivalent atoms:
Ba 0.1594 0.1642 0.2500 (multiplicity 8)
Cd 0.0000 0.1633 0.7500 (multiplicity 4)
Cd 0.0000 0.3395 0.0540 (multiplicity 8)
Cd 0.0928 0.4566 0.7500 (multiplicity 8)
Cd 0.1593 0.1832 0.5983 (multiplicity 16)
Sn 0.0000 0.0000 0.0000 (multiplicity 4)
Sn 0.1913 0.5000 0.0000 (multiplicity 8)

Record 2
VASP calculation (PBE) on crystalline Ba3Cd3Sn2 at its relaxed geometry.

Summary:
Total energy (eV per atom): -2.514

Cell lengths 9.4223, 17.5579, 6.8293 Å; angles 90.00, 90.00, 90.00 degrees
Space group Pnma (No. 62)
One atom of each set of equivalent atoms:
Ba 0.0412 0.1056 0.1264 (multiplicity 8)
Ba 0.1722 0.2500 0.6312 (multiplicity 4)
Cd 0.1792 0.0352 0.6085 (multiplicity 8)
Cd 0.1802 0.7500 0.6354 (multiplicity 4)
Sn 0.1112 0.6027 0.3729 (multiplicity 8)

The records above give, respectively, mass density values of 7.09 5.80 g cm⁻³.
The records above give, respectively, calculated formation energy values of -21.8 -43.3 kJ/mol of atoms.